First-principles (PBE) data for SrLuTe3Pd after structural relaxation, as listed in OQMD.

Lattice parameters (Å, degrees): 14.3742 4.3187 11.4701 90.00 90.00 90.00
With the nearest neighbours (Å) after each atom.
Space group Pnma (No. 62)
One atom of each set of equivalent atoms:
Sr: 0.2209 0.2500 0.0508 (multiplicity 4)  6 Te 3.31-3.37, 1 Pd 3.70
Lu: 0.0199 0.2500 0.3271 (multiplicity 4)  6 Te 2.99-3.05
Te: 0.1012 0.7500 0.8849 (multiplicity 4)  3 Pd 2.69-2.75, 1 Lu 2.99
Te: 0.1054 0.2500 0.5695 (multiplicity 4)  3 Lu 3.04-3.05, 2 Sr 3.31
Te: 0.1562 0.7500 0.2612 (multiplicity 4)  1 Pd 2.85, 2 Lu 3.01
Pd: 0.0088 0.7500 0.0945 (multiplicity 4)  4 Te 2.69-2.85

## Properties
Total DFT energy (no corrections), eV/atom: -4.668

First-principles (PBE) data for SrLuTe3Pd after structural relaxation, as listed in OQMD.

Lattice parameters (Å, degrees): 4.2017 14.9970 10.9854 90.00 90.00 90.00
With the nearest neighbours (Å) after each atom.
Space group Cmcm (No. 63)
One atom of each set of equivalent atoms:
Sr: 0.0000 0.2363 0.2500 (multiplicity 4)  6 Te 3.34-3.42
Lu: 0.0000 0.0000 0.0000 (multiplicity 4)  6 Te 3.02-3.04
Te: 0.0000 0.0837 0.7500 (multiplicity 4)  2 Pd 2.70, 2 Lu 3.02
Te: 0.0000 0.3585 0.5529 (multiplicity 8)  1 Pd 2.74, 2 Lu 3.04
Pd: 0.0000 0.4708 0.7500 (multiplicity 4)  4 Te 2.70-2.74

## Properties
Total DFT energy (no corrections), eV/atom: -4.644

First-principles (PBE) data for LuTaPd after structural relaxation, as listed in OQMD.

Lattice parameters (Å, degrees): 6.4484 6.4484 6.4484 90.00 90.00 90.00
With the nearest neighbours (Å) after each atom.
Space group F-43m (No. 216)
One atom of each set of equivalent atoms:
Lu: 0.0000 0.0000 0.0000 (multiplicity 4)  4 Pd 2.79
Ta: 0.0000 0.0000 0.5000 (multiplicity 4)  4 Pd 2.79
Pd: 0.2500 0.2500 0.2500 (multiplicity 4)  4 Ta 2.79, 4 Lu 2.79

## Properties
Formation energy from the elements, eV/atom: 0.1730

First-principles (PBE) data for TbLuPd after structural relaxation, as listed in OQMD.

Lattice parameters (Å, degrees): 6.8244 6.8244 6.8244 90.00 90.00 90.00
With the nearest neighbours (Å) after each atom.
Space group F-43m (No. 216)
One atom of each set of equivalent atoms:
Tb: 0.0000 0.0000 0.0000 (multiplicity 4)  4 Pd 2.96
Lu: 0.0000 0.0000 0.5000 (multiplicity 4)  4 Pd 2.96
Pd: 0.2500 0.2500 0.7500 (multiplicity 4)  4 Tb 2.96, 4 Lu 2.96

## Properties
Formation energy from the elements, eV/atom: -0.5082

First-principles (PBE) data for LuTcPd after structural relaxation, as listed in OQMD.

Lattice parameters (Å, degrees): 6.3440 6.3440 6.3440 90.00 90.00 90.00
With the nearest neighbours (Å) after each atom.
Space group F-43m (No. 216)
One atom of each set of equivalent atoms:
Lu: 0.0000 0.0000 0.0000 (multiplicity 4)  4 Pd 2.75, 4 Tc 2.75
Tc: 0.2500 0.2500 0.2500 (multiplicity 4)  4 Lu 2.75
Pd: 0.2500 0.2500 0.7500 (multiplicity 4)  4 Lu 2.75

## Properties
Formation energy from the elements, eV/atom: 0.6158

First-principles (PBE) data for LuTcPd after structural relaxation, as listed in OQMD.

Lattice parameters (Å, degrees): 6.3477 6.3477 6.3477 90.00 90.00 90.00
With the nearest neighbours (Å) after each atom.
Space group F-43m (No. 216)
One atom of each set of equivalent atoms:
Lu: 0.0000 0.0000 0.0000 (multiplicity 4)  4 Pd 2.75
Tc: 0.0000 0.0000 0.5000 (multiplicity 4)  4 Pd 2.75
Pd: 0.2500 0.2500 0.2500 (multiplicity 4)  4 Tc 2.75, 4 Lu 2.75

## Properties
Formation energy from the elements, eV/atom: 0.2137